1.
A relaxed structure of K2MoRu, computed with PBE.

a b c (Å): 9.162 9.162 9.162
angles (deg): 93.67 93.67 150.70
Positions (direct):
K  0.375  0.048  0.173
K  0.798  0.625  0.673
K  0.875  0.202  0.827
K  0.952  0.125  0.327
Mo  0.250  0.750  0.500
Mo  0.500  0.500  0.000
Ru  0.000  0.000  0.000
Ru  0.750  0.250  0.500

DOS at the Fermi energy in states/eV per atom: 1.869
Energy of formation in meV per atom: 1402
Relative energy among the computed polymorphs in eV per formula unit: 2.68

***

2.
A relaxed structure of K2MoRu, computed with PBE.

a b c (Å): 12.109 12.109 12.109
angles (deg): 13.51 13.51 13.51
Positions (direct):
K  0.245  0.245  0.245
K  0.755  0.755  0.755
Mo  0.000  0.000  0.000
Ru  0.500  0.500  0.500

DOS at the Fermi energy in states/eV per atom: 1.049
Energy of formation in meV per atom: 1400
Relative energy among the computed polymorphs in eV per formula unit: 2.68

***

- What is the relative energy among the computed polymorphs in the first record?
  2.68 eV per formula unit

***

- Number 1 is which compound?
  K2MoRu

***

Copy entry 1 word for word.
A relaxed structure of K2MoRu, computed with PBE.

a b c (Å): 9.162 9.162 9.162
angles (deg): 93.67 93.67 150.70
Positions (direct):
K  0.375  0.048  0.173
K  0.798  0.625  0.673
K  0.875  0.202  0.827
K  0.952  0.125  0.327
Mo  0.250  0.750  0.500
Mo  0.500  0.500  0.000
Ru  0.000  0.000  0.000
Ru  0.750  0.250  0.500

DOS at the Fermi energy in states/eV per atom: 1.869
Energy of formation in meV per atom: 1402
Relative energy among the computed polymorphs in eV per formula unit: 2.68